1.
CdHPdAu2: relaxed, GGA-PBE.

Cell lengths 4.077, 4.077, 4.509 Å; angles 90.00, 90.00, 90.00 degrees
Sites, in units of the cell vectors:
1 H 0.000 0.000 0.000
2 Au 0.500 0.000 0.000
3 Au 0.000 0.500 0.000
4 Cd 0.000 0.000 0.500
5 Pd 0.500 0.500 0.500

Values from the calculation:
**DOS(E_F)**: 0.96 states/eV/cell
**Excess energy over the best structure of this formula in the dataset**: 110.2 meV per atom
**SG**: P4/mmm

=====

2.
CdHPdAu2: relaxed, GGA-PBE.

Cell lengths 4.482, 4.482, 3.717 Å; angles 90.00, 90.00, 90.00 degrees
Sites, in units of the cell vectors:
1 Pd 0.000 0.000 0.500
2 Au 0.500 0.000 0.000
3 Cd 0.500 0.500 0.500
4 H 0.000 0.000 0.000
5 Au 0.000 0.500 0.000

Values from the calculation:
**DOS(E_F)**: 1.15 states/eV/cell
**Excess energy over the best structure of this formula in the dataset**: 0.0 meV per atom
**SG**: P4/mmm

=====

3.
Cd3H2Pd6Au: relaxed, GGA-PBE.

Cell lengths 5.471, 5.471, 8.764 Å; angles 90.00, 90.00, 120.00 degrees
Sites, in units of the cell vectors:
1 Au 0.000 0.000 0.500
2 H 0.667 0.333 0.853
3 Cd 0.667 0.333 0.366
4 Cd 0.333 0.667 0.634
5 Pd 0.662 0.831 0.255
6 Pd 0.831 0.662 0.745
7 H 0.333 0.667 0.147
8 Pd 0.831 0.169 0.745
9 Pd 0.169 0.338 0.255
10 Cd 0.000 0.000 0.000
11 Pd 0.169 0.831 0.255
12 Pd 0.338 0.169 0.745

Values from the calculation:
**DOS(E_F)**: 8.49 states/eV/cell
**E**: -44.21 eV for the cell shown
**SG**: P-3m1

=====

4.
Cd2HPdAu: relaxed, GGA-PBE.

Cell lengths 4.789, 4.789, 3.429 Å; angles 90.00, 90.00, 90.00 degrees
Sites, in units of the cell vectors:
1 Cd 0.500 0.000 0.000
2 Au 0.500 0.500 0.500
3 H 0.000 0.000 0.000
4 Pd 0.000 0.000 0.500
5 Cd 0.000 0.500 0.000

Values from the calculation:
**DOS(E_F)**: 1.85 states/eV/cell
**Excess energy over the best structure of this formula in the dataset**: 0.0 meV per atom
**SG**: P4/mmm

=====

5.
CdHPd2Au: relaxed, GGA-PBE.

Cell lengths 4.038, 4.038, 4.345 Å; angles 90.00, 90.00, 90.00 degrees
Sites, in units of the cell vectors:
1 Cd 0.000 0.000 0.500
2 H 0.000 0.000 0.000
3 Pd 0.500 0.000 0.000
4 Au 0.500 0.500 0.500
5 Pd 0.000 0.500 0.000

Values from the calculation:
**DOS(E_F)**: 1.82 states/eV/cell
**Excess energy over the best structure of this formula in the dataset**: 60.7 meV per atom
**SG**: P4/mmm

=====

6.
Cd2HPdAu: relaxed, GGA-PBE.

Cell lengths 4.642, 4.642, 3.665 Å; angles 90.00, 90.00, 90.00 degrees
Sites, in units of the cell vectors:
1 Au 0.000 0.000 0.500
2 Pd 0.500 0.500 0.500
3 H 0.000 0.000 0.000
4 Cd 0.500 0.000 0.000
5 Cd 0.000 0.500 0.000

Values from the calculation:
**DOS(E_F)**: 1.01 states/eV/cell
**Excess energy over the best structure of this formula in the dataset**: 112.3 meV per atom
**SG**: P4/mmm

=====

7.
Cd2HPt4Au2: relaxed, GGA-PBE.

Cell lengths 5.853, 5.853, 5.853 Å; angles 88.67, 120.77, 120.77 degrees
Sites, in units of the cell vectors:
1 Cd 0.000 0.729 0.729
2 Pt 0.488 0.244 0.244
3 Au 0.500 0.750 0.250
4 Pt 0.000 0.244 0.756
5 Pt 0.512 0.756 0.756
6 Pt 0.000 0.756 0.244
7 Au 0.500 0.250 0.750
8 Cd 0.000 0.271 0.271
9 H 0.000 0.000 0.000

Values from the calculation:
**DOS(E_F)**: 2.62 states/eV/cell
**E**: -37.09 eV for the cell shown
**SG**: I4/mmm

=====

8.
Cd4H3Pt12Au: relaxed, GGA-PBE.

Cell lengths 7.445, 7.445, 7.445 Å; angles 109.47, 109.47, 109.47 degrees
Sites, in units of the cell vectors:
1 H 0.500 0.000 0.500
2 Pt 0.500 0.750 0.250
3 Pt 0.702 0.702 0.000
4 Pt 0.298 0.000 0.298
5 H 0.000 0.500 0.500
6 Pt 0.000 0.298 0.298
7 Pt 0.000 0.702 0.702
8 Cd 0.500 0.000 0.000
9 Pt 0.298 0.298 0.000
10 Cd 0.000 0.000 0.500
11 Cd 0.500 0.500 0.500
12 Pt 0.750 0.250 0.500
13 H 0.500 0.500 0.000
14 Pt 0.500 0.250 0.750
15 Pt 0.250 0.750 0.500
16 Pt 0.702 0.000 0.702
17 Pt 0.250 0.500 0.750
18 Cd 0.000 0.500 0.000
19 Au 0.000 0.000 0.000
20 Pt 0.750 0.500 0.250

Values from the calculation:
**DOS(E_F)**: 25.29 states/eV/cell
**E**: -87.87 eV for the cell shown
**SG**: Im-3m

=====

9.
CdHPtAu2: relaxed, GGA-PBE.

Cell lengths 4.503, 4.503, 3.701 Å; angles 90.00, 90.00, 90.00 degrees
Sites, in units of the cell vectors:
1 Au 0.500 0.000 0.000
2 H 0.000 0.000 0.000
3 Cd 0.500 0.500 0.500
4 Au 0.000 0.500 0.000
5 Pt 0.000 0.000 0.500

Values from the calculation:
**DOS(E_F)**: 1.13 states/eV/cell
**E**: -16.90 eV for the cell shown
**SG**: P4/mmm

=====

10.
Rb2CdHAu: relaxed, GGA-PBE.

Cell lengths 5.690, 5.690, 4.673 Å; angles 90.00, 90.00, 90.00 degrees
Sites, in units of the cell vectors:
1 H 0.000 0.000 0.000
2 Au 0.500 0.500 0.500
3 Rb 0.500 0.000 0.000
4 Rb 0.000 0.500 0.000
5 Cd 0.000 0.000 0.500

Values from the calculation:
**DOS(E_F)**: 1.34 states/eV/cell
**Excess energy over the best structure of this formula in the dataset**: 103.6 meV per atom
**SG**: P4/mmm

=====

11.
Rb2CdHAu: relaxed, GGA-PBE.

Cell lengths 6.486, 6.486, 3.751 Å; angles 90.00, 90.00, 90.00 degrees
Sites, in units of the cell vectors:
1 Au 0.000 0.000 0.500
2 H 0.000 0.000 0.000
3 Cd 0.500 0.500 0.500
4 Rb 0.000 0.500 0.000
5 Rb 0.500 0.000 0.000

Values from the calculation:
**DOS(E_F)**: 1.94 states/eV/cell
**Excess energy over the best structure of this formula in the dataset**: 77.9 meV per atom
**SG**: P4/mmm

=====

12.
Rb2CdHAu: relaxed, GGA-PBE.

Cell lengths 5.081, 7.542, 8.544 Å; angles 108.78, 90.00, 90.00 degrees
Sites, in units of the cell vectors:
1 Rb 0.250 0.270 0.960
2 Rb 0.750 0.730 0.040
3 Au 0.250 0.620 0.330
4 H 0.750 0.192 0.199
5 Rb 0.750 0.896 0.644
6 Cd 0.250 0.540 0.647
7 Cd 0.750 0.460 0.353
8 Rb 0.250 0.104 0.356
9 H 0.250 0.808 0.801
10 Au 0.750 0.380 0.670

Values from the calculation:
**DOS(E_F)**: 1.71 states/eV/cell
**Excess energy over the best structure of this formula in the dataset**: 0.0 meV per atom
**SG**: P2_1/m

=====

13.
CdHRh2Au: relaxed, GGA-PBE.

Cell lengths 4.072, 4.072, 4.114 Å; angles 90.00, 90.00, 90.00 degrees
Sites, in units of the cell vectors:
1 H 0.000 0.000 0.000
2 Au 0.000 0.000 0.500
3 Cd 0.500 0.500 0.500
4 Rh 0.500 0.000 0.000
5 Rh 0.000 0.500 0.000

Values from the calculation:
**DOS(E_F)**: 6.14 states/eV/cell
**Excess energy over the best structure of this formula in the dataset**: 0.0 meV per atom
**SG**: P4/mmm

=====

14.
Cd2HRhAu: relaxed, GGA-PBE.

Cell lengths 4.710, 4.710, 3.436 Å; angles 90.00, 90.00, 90.00 degrees
Sites, in units of the cell vectors:
1 Cd 0.000 0.500 0.000
2 H 0.000 0.000 0.000
3 Rh 0.000 0.000 0.500
4 Cd 0.500 0.000 0.000
5 Au 0.500 0.500 0.500

Values from the calculation:
**DOS(E_F)**: 2.86 states/eV/cell
**E**: -16.28 eV for the cell shown
**SG**: P4/mmm

=====

15.
CdHRh2Au: relaxed, GGA-PBE.

Cell lengths 3.988, 3.988, 4.300 Å; angles 90.00, 90.00, 90.00 degrees
Last column: magnetic moment on the atom in μB.
Sites, in units of the cell vectors:
1 H 0.000 0.000 0.000  0.00
2 Au 0.500 0.500 0.500  0.06
3 Rh 0.500 0.000 0.000  0.30
4 Cd 0.000 0.000 0.500  0.00
5 Rh 0.000 0.500 0.000  0.30

Values from the calculation:
**DOS(E_F)**: 5.69 states/eV/cell
**Excess energy over the best structure of this formula in the dataset**: 20.3 meV per atom
**SG**: P4/mmm

=====

16.
Cd2HRuAu: relaxed, GGA-PBE.

Cell lengths 4.561, 4.561, 3.597 Å; angles 90.00, 90.00, 90.00 degrees
Sites, in units of the cell vectors:
1 Cd 0.500 0.000 0.000
2 H 0.000 0.000 0.000
3 Cd 0.000 0.500 0.000
4 Ru 0.000 0.000 0.500
5 Au 0.500 0.500 0.500

Values from the calculation:
**DOS(E_F)**: 1.42 states/eV/cell
**E**: -17.26 eV for the cell shown
**SG**: P4/mmm

=====

17.
CdH2AuS: relaxed, GGA-PBE.

Cell lengths 3.599, 6.439, 3.599 Å; angles 90.00, 90.00, 90.00 degrees
Sites, in units of the cell vectors:
1 Cd 0.000 0.500 0.000
2 H 0.500 0.000 0.000
3 H 0.000 0.000 0.500
4 S 0.500 0.500 0.500
5 Au 0.000 0.000 0.000

Values from the calculation:
**DOS(E_F)**: 0.80 states/eV/cell
**E**: -14.70 eV for the cell shown
**SG**: P4/mmm

=====

18.
CdHAuSe: relaxed, GGA-PBE.

Cell lengths 3.830, 3.834, 6.635 Å; angles 77.59, 77.44, 61.07 degrees
Sites, in units of the cell vectors:
1 H 0.335 0.353 0.615
2 Au 0.159 0.182 0.231
3 Cd 0.560 0.580 0.964
4 Se 0.103 0.122 0.641

Values from the calculation:
**DOS(E_F)**: 0.55 states/eV/cell
**Excess energy over the best structure of this formula in the dataset**: 136.5 meV per atom
**SG**: P1

=====

19.
CdHAuSe: relaxed, GGA-PBE.

Cell lengths 6.377, 4.092, 6.576 Å; angles 90.00, 104.00, 90.00 degrees
Sites, in units of the cell vectors:
1 Cd 0.158 0.000 0.321
2 Au 0.417 0.500 0.237
3 Cd 0.158 0.500 0.821
4 H 0.759 0.000 0.510
5 H 0.759 0.500 0.010
6 Se 0.724 0.000 0.277
7 Au 0.417 0.000 0.737
8 Se 0.724 0.500 0.777

Values from the calculation:
**DOS(E_F)**: 0.15 states/eV/cell
**Excess energy over the best structure of this formula in the dataset**: 121.8 meV per atom
**SG**: Cm

=====

20.
CdHAuSe: relaxed, GGA-PBE.

Cell lengths 4.298, 4.403, 6.322 Å; angles 80.22, 71.67, 61.54 degrees
Sites, in units of the cell vectors:
1 Se 0.613 0.503 0.870
2 H 0.670 0.092 0.303
3 Au 0.676 0.803 0.504
4 Cd 0.886 0.817 0.027

Values from the calculation:
**DOS(E_F)**: 0.00 states/eV/cell
**Excess energy over the best structure of this formula in the dataset**: 2.5 meV per atom
**SG**: P1

=====

21.
CdHAuSe: relaxed, GGA-PBE.

Cell lengths 3.761, 4.402, 12.239 Å; angles 90.00, 95.76, 90.00 degrees
Sites, in units of the cell vectors:
1 Cd 0.096 0.500 0.946
2 Au 0.567 0.500 0.785
3 H 0.614 0.000 0.031
4 H 0.614 0.500 0.531
5 Cd 0.096 0.000 0.446
6 Se 0.272 0.500 0.583
7 Se 0.272 0.000 0.083
8 Au 0.567 0.000 0.285

Values from the calculation:
**Excess energy over the best structure of this formula in the dataset**: 146.0 meV per atom
**SG**: Cm

=====

22.
CdHAuSe: relaxed, GGA-PBE.

Cell lengths 3.866, 3.634, 6.177 Å; angles 90.00, 107.95, 90.00 degrees
Sites, in units of the cell vectors:
1 Cd 0.757 0.500 0.348
2 Se 0.337 0.000 0.510
3 H 0.576 0.500 0.972
4 Au 0.567 0.000 0.956

Values from the calculation:
**DOS(E_F)**: 0.67 states/eV/cell
**Excess energy over the best structure of this formula in the dataset**: 127.5 meV per atom
**SG**: Pm

=====

23.
CdHAuSe: relaxed, GGA-PBE.

Cell lengths 6.208, 4.398, 7.825 Å; angles 90.00, 104.45, 90.00 degrees
Sites, in units of the cell vectors:
1 Se 0.088 0.500 0.364
2 Cd 0.208 0.500 0.066
3 H 0.753 0.500 0.647
4 Au 0.500 0.000 0.030
5 H 0.753 0.000 0.147
6 Cd 0.208 0.000 0.566
7 Se 0.088 0.000 0.864
8 Au 0.500 0.500 0.530

Values from the calculation:
**DOS(E_F)**: 0.00 states/eV/cell
**Excess energy over the best structure of this formula in the dataset**: 75.1 meV per atom
**SG**: Cm

=====

24.
CdHAuSe: relaxed, GGA-PBE.

Cell lengths 5.607, 3.844, 7.669 Å; angles 90.00, 88.73, 90.00 degrees
Sites, in units of the cell vectors:
1 Au 0.548 0.500 0.202
2 H 0.550 0.500 0.711
3 Cd 0.874 0.500 0.870
4 Se 0.087 0.000 0.676
5 H 0.550 0.000 0.211
6 Au 0.548 0.000 0.702
7 Se 0.087 0.500 0.176
8 Cd 0.874 0.000 0.370

Values from the calculation:
**DOS(E_F)**: 1.38 states/eV/cell
**Excess energy over the best structure of this formula in the dataset**: 128.9 meV per atom
**SG**: Cm

=====

25.
CdHAuSe: relaxed, GGA-PBE.

Cell lengths 6.126, 4.579, 7.307 Å; angles 90.00, 103.29, 90.00 degrees
Sites, in units of the cell vectors:
1 Cd 0.652 0.500 0.038
2 H 0.930 0.500 0.937
3 Se 0.501 0.500 0.349
4 H 0.930 0.000 0.437
5 Au 0.131 0.500 0.127
6 Au 0.131 0.000 0.627
7 Se 0.501 0.000 0.849
8 Cd 0.652 0.000 0.538

Values from the calculation:
**DOS(E_F)**: 0.00 states/eV/cell
**Excess energy over the best structure of this formula in the dataset**: 0.0 meV per atom
**SG**: Cm

=====

26.
CdSiHAu2: relaxed, GGA-PBE.

Cell lengths 5.008, 5.008, 3.306 Å; angles 90.00, 90.00, 90.00 degrees
Sites, in units of the cell vectors:
1 Au 0.500 0.000 0.000
2 Au 0.000 0.500 0.000
3 Si 0.000 0.000 0.000
4 H 0.000 0.000 0.500
5 Cd 0.500 0.500 0.500

Values from the calculation:
**DOS(E_F)**: 1.63 states/eV/cell
**E**: -15.97 eV for the cell shown
**SG**: P4/mmm